Here is UCuNiGe2 after structural relaxation from Alexandria via LeMat-Bulk. Energies are from PBE.

Results
* E_tot: -6.366 eV/atom
* N(E_F): 7.55 states/eV/cell

a b c (Å): 5.813 5.813 5.813
angles (deg): 139.39 139.39 58.79
Each line ends with the local moment (μB).
Atoms (fractional coordinates):
Cu 0.250 0.750 0.500  -0.01
U 0.000 0.000 0.000  2.09
Ni 0.750 0.250 0.500  -0.07
Ge 0.622 0.622 0.000  -0.02
Ge 0.378 0.378 0.000  -0.02



Here is U2CuNi4Ge3 after structural relaxation from Alexandria via LeMat-Bulk. Energies are from PBE.

Results
* E_tot: -6.685 eV/atom
* N(E_F): 19.12 states/eV/cell

a b c (Å): 3.946 3.946 10.057
angles (deg): 90.00 90.00 90.00
Each line ends with the local moment (μB).
Atoms (fractional coordinates):
Ge 0.000 0.500 0.130  -0.01
Ge 0.500 0.000 0.870  -0.01
Ge 0.000 0.000 0.500  -0.04
U 0.500 0.000 0.255  1.80
U 0.000 0.500 0.745  1.80
Cu 0.500 0.500 0.500  -0.01
Ni 0.000 0.000 0.000  0.07
Ni 0.000 0.500 0.361  -0.11
Ni 0.500 0.500 0.000  0.09
Ni 0.500 0.000 0.639  -0.11



Here is Y2CuNi3Ge4 after structural relaxation from Alexandria via LeMat-Bulk. Energies are from PBE.

Results
* E_tot: -5.935 eV/atom
* N(E_F): 4.64 states/eV/cell

a b c (Å): 4.096 4.096 9.753
angles (deg): 90.00 90.00 90.00
Atoms (fractional coordinates):
Cu 0.500 0.500 0.500
Y 0.500 0.000 0.251
Y 0.000 0.500 0.749
Ge 0.500 0.000 0.636
Ge 0.000 0.000 0.000
Ge 0.000 0.500 0.364
Ge 0.500 0.500 0.000
Ni 0.000 0.000 0.500
Ni 0.500 0.000 0.876
Ni 0.000 0.500 0.124



Here is Y2CuNi4Ge3 after structural relaxation from Alexandria via LeMat-Bulk. Energies are from PBE.

Results
* E_tot: -6.006 eV/atom
* N(E_F): 7.77 states/eV/cell

a b c (Å): 4.041 4.041 9.756
angles (deg): 90.00 90.00 90.00
Atoms (fractional coordinates):
Y 0.500 0.000 0.254
Y 0.000 0.500 0.746
Ni 0.500 0.500 0.000
Ni 0.000 0.000 0.000
Ni 0.000 0.500 0.369
Ni 0.500 0.000 0.631
Ge 0.500 0.000 0.869
Ge 0.000 0.500 0.131
Ge 0.000 0.000 0.500
Cu 0.500 0.500 0.500



Here is YCuNi5Ge2 after structural relaxation from Alexandria via LeMat-Bulk. Energies are from PBE.

Results
* E_tot: -5.494 eV/atom
* N(E_F): 2.20 states/eV/cell

a b c (Å): 3.820 3.820 8.977
angles (deg): 90.00 90.00 90.00
Atoms (fractional coordinates):
Ni 0.000 0.500 0.277
Ni 0.500 0.000 0.277
Ni 0.000 0.500 0.723
Ni 0.500 0.500 0.500
Ni 0.500 0.000 0.723
Y 0.000 0.000 0.500
Ge 0.500 0.500 0.867
Ge 0.500 0.500 0.133
Cu 0.000 0.000 0.000



Here is YCuNi4Ge2 after structural relaxation from Alexandria via LeMat-Bulk. Energies are from PBE.

Results
* E_tot: -5.726 eV/atom
* N(E_F): 4.36 states/eV/cell

a b c (Å): 4.006 4.006 8.572
angles (deg): 76.49 76.49 60.00
Atoms (fractional coordinates):
Cu 0.500 0.500 0.500
Y 0.000 0.000 0.000
Ge 0.240 0.240 0.279
Ge 0.760 0.760 0.721
Ni 0.405 0.405 0.784
Ni 0.868 0.868 0.397
Ni 0.595 0.595 0.216
Ni 0.132 0.132 0.603



Here is ZnCuNiGe after structural relaxation from Alexandria via LeMat-Bulk. Energies are from PBE.

Results
* E_tot: -4.020 eV/atom
* N(E_F): 2.52 states/eV/cell

a b c (Å): 4.193 4.193 4.193
angles (deg): 60.00 60.00 60.00
Atoms (fractional coordinates):
Zn 0.750 0.750 0.750
Ge 0.250 0.250 0.250
Ni 0.500 0.500 0.500
Cu 0.000 0.000 0.000



Here is NpCu4Ge2 after structural relaxation from Alexandria via LeMat-Bulk. Energies are from PBE.

Results
* E_tot: -5.320 eV/atom
* N(E_F): 7.67 states/eV/cell

a b c (Å): 3.331 3.334 10.442
angles (deg): 99.18 99.18 90.00
Each line ends with the local moment (μB).
Atoms (fractional coordinates):
Cu 0.250 0.750 0.500  -0.02
Cu 0.750 0.250 0.500  -0.02
Cu 0.154 0.154 0.309  0.02
Cu 0.846 0.846 0.691  0.02
Np 0.000 0.000 0.000  4.09
Ge 0.399 0.399 0.798  -0.01
Ge 0.601 0.601 0.202  -0.01



Here is Np2Cu3Ge4 after structural relaxation from Alexandria via LeMat-Bulk. Energies are from PBE.

Results
* E_tot: -6.423 eV/atom
* N(E_F): 32.27 states/eV/cell

a b c (Å): 5.690 7.522 7.808
angles (deg): 90.00 111.37 90.00
Each line ends with the local moment (μB).
Atoms (fractional coordinates):
Ge 0.819 0.032 0.639  0.00
Ge 0.181 0.968 0.361  0.00
Ge 0.306 0.250 0.111  -0.03
Ge 0.806 0.250 0.111  -0.03
Ge 0.319 0.468 0.639  0.00
Ge 0.194 0.750 0.889  -0.03
Ge 0.681 0.532 0.361  0.00
Ge 0.694 0.750 0.889  -0.03
Cu 0.527 0.750 0.553  0.03
Cu 0.027 0.750 0.553  0.03
Cu 0.000 0.000 0.000  0.01
Cu 0.973 0.250 0.447  0.03
Cu 0.473 0.250 0.447  0.03
Cu 0.500 0.500 0.000  0.01
Np 0.608 0.911 0.215  3.75
Np 0.892 0.411 0.785  3.75
Np 0.108 0.589 0.215  3.75
Np 0.392 0.089 0.785  3.75



Here is NpCuGeO6 after structural relaxation from Alexandria via LeMat-Bulk. Energies are from PBE.

Results
* E_tot: -7.396 eV/atom
* N(E_F): 13.82 states/eV/cell

a b c (Å): 5.215 5.215 9.068
angles (deg): 90.00 90.00 120.00
Each line ends with the local moment (μB).
Atoms (fractional coordinates):
O 0.020 0.661 0.367  0.06
O 0.661 0.641 0.633  0.06
O 0.020 0.359 0.133  0.06
O 0.661 0.020 0.867  0.06
O 0.980 0.339 0.633  0.06
O 0.339 0.359 0.367  0.06
O 0.641 0.980 0.367  0.06
O 0.641 0.661 0.133  0.06
O 0.339 0.980 0.133  0.06
O 0.980 0.641 0.867  0.06
O 0.359 0.020 0.633  0.06
O 0.359 0.339 0.867  0.06
Ge 0.333 0.667 0.250  0.00
Ge 0.667 0.333 0.750  0.00
Np 0.333 0.667 0.750  -0.78
Np 0.667 0.333 0.250  -0.78
Cu 0.000 0.000 0.000  0.43
Cu 0.000 0.000 0.500  0.43



Here is Np2CuGe4Pd3 after structural relaxation from Alexandria via LeMat-Bulk. Energies are from PBE.

Results
* E_tot: -6.747 eV/atom
* N(E_F): 21.43 states/eV/cell

a b c (Å): 4.249 4.249 10.318
angles (deg): 90.00 90.00 90.00
Each line ends with the local moment (μB).
Atoms (fractional coordinates):
Cu 0.500 0.500 0.500  0.00
Pd 0.000 0.000 0.500  -0.01
Pd 0.500 0.000 0.868  -0.02
Pd 0.000 0.500 0.132  -0.02
Ge 0.500 0.000 0.632  -0.03
Ge 0.500 0.500 0.000  -0.02
Ge 0.000 0.500 0.368  -0.03
Ge 0.000 0.000 0.000  -0.03
Np 0.500 0.000 0.255  3.85
Np 0.000 0.500 0.745  3.85



Here is NpCuGePd after structural relaxation from Alexandria via LeMat-Bulk. Energies are from PBE.

Results
* E_tot: -6.757 eV/atom
* N(E_F): 11.69 states/eV/cell

a b c (Å): 4.662 4.662 4.662
angles (deg): 60.00 60.00 60.00
Each line ends with the local moment (μB).
Atoms (fractional coordinates):
Pd 0.500 0.500 0.500  0.11
Ge 0.250 0.250 0.250  0.03
Cu 0.750 0.750 0.750  -0.02
Np 0.000 0.000 0.000  3.69



Here is NpCuGePt after structural relaxation from Alexandria via LeMat-Bulk. Energies are from PBE.

Results
* E_tot: -7.035 eV/atom
* N(E_F): 11.53 states/eV/cell

a b c (Å): 4.644 4.644 4.644
angles (deg): 60.00 60.00 60.00
Each line ends with the local moment (μB).
Atoms (fractional coordinates):
Ge 0.250 0.250 0.250  0.04
Np 0.000 0.000 0.000  3.68
Cu 0.750 0.750 0.750  -0.02
Pt 0.500 0.500 0.500  0.09



Here is NpCuGeRh after structural relaxation from Alexandria via LeMat-Bulk. Energies are from PBE.

Results
* E_tot: -7.282 eV/atom
* N(E_F): 9.75 states/eV/cell

a b c (Å): 4.600 4.600 4.600
angles (deg): 60.00 60.00 60.00
Each line ends with the local moment (μB).
Atoms (fractional coordinates):
Rh 0.000 0.000 0.000  -0.16
Ge 0.250 0.250 0.250  0.00
Cu 0.750 0.750 0.750  -0.03
Np 0.500 0.500 0.500  3.42



Here is Cu2Ge2O5 after structural relaxation from Alexandria via LeMat-Bulk. Energies are from PBE.

Results
* E_tot: -5.720 eV/atom
* N(E_F): 3.18 states/eV/cell

a b c (Å): 3.103 5.703 7.768
angles (deg): 80.98 101.52 90.00
Atoms (fractional coordinates):
Cu 0.667 0.434 0.334
Cu 0.333 0.566 0.666
O 0.351 0.903 0.702
O 0.649 0.097 0.298
O 0.834 0.346 0.668
O 0.000 0.000 0.000
O 0.166 0.654 0.332
Ge 0.117 0.953 0.233
Ge 0.883 0.047 0.767



Here is Cu3Ge5O12 after structural relaxation from Alexandria via LeMat-Bulk. Energies are from PBE.

Results
* E_tot: -5.941 eV/atom
* N(E_F): 46.90 states/eV/cell

a b c (Å): 10.485 10.485 10.485
angles (deg): 109.47 109.47 109.47
Each line ends with the local moment (μB).
Atoms (fractional coordinates):
O 0.608 0.624 0.432  0.01
O 0.483 0.676 0.108  0.01
O 0.108 0.932 0.124  0.01
O 0.932 0.108 0.624  0.01
O 0.307 0.876 0.983  0.01
O 0.108 0.176 0.483  0.01
O 0.932 0.824 0.807  0.01
O 0.693 0.568 0.176  0.01
O 0.517 0.193 0.124  0.01
O 0.432 0.307 0.324  0.01
O 0.807 0.483 0.376  0.01
O 0.983 0.608 0.176  0.01
O 0.807 0.324 0.932  0.01
O 0.568 0.693 0.676  0.01
O 0.983 0.376 0.307  0.01
O 0.017 0.392 0.824  0.01
O 0.892 0.824 0.517  0.01
O 0.324 0.517 0.392  0.01
O 0.176 0.108 0.983  0.01
O 0.517 0.324 0.892  0.01
O 0.193 0.517 0.624  0.01
O 0.892 0.068 0.876  0.01
O 0.824 0.932 0.307  0.01
O 0.676 0.193 0.568  0.01
O 0.693 0.124 0.017  0.01
O 0.068 0.176 0.193  0.01
O 0.876 0.568 0.892  0.01
O 0.676 0.483 0.608  0.01
O 0.124 0.693 0.517  0.01
O 0.483 0.807 0.876  0.01
O 0.124 0.432 0.108  0.01
O 0.568 0.876 0.392  0.01
O 0.624 0.608 0.932  0.01
O 0.376 0.392 0.068  0.01
O 0.193 0.676 0.068  0.01
O 0.608 0.983 0.676  0.01
O 0.432 0.124 0.608  0.01
O 0.392 0.376 0.568  0.01
O 0.176 0.068 0.693  0.01
O 0.824 0.892 0.017  0.01
O 0.392 0.017 0.324  0.01
O 0.017 0.624 0.693  0.01
O 0.307 0.432 0.824  0.01
O 0.324 0.807 0.432  0.01
O 0.624 0.017 0.193  0.01
O 0.068 0.892 0.376  0.01
O 0.876 0.307 0.483  0.01
O 0.376 0.983 0.807  0.01
Ge 0.625 0.750 0.875  0.00
Ge 0.000 0.500 0.000  0.00
Ge 0.875 0.625 0.750  0.00
Ge 0.000 0.500 0.500  0.00
Ge 0.375 0.125 0.750  0.00
Ge 0.500 0.000 0.000  0.00
Ge 0.250 0.375 0.625  0.00
Ge 0.750 0.625 0.375  0.00
Ge 0.125 0.750 0.375  0.00
Ge 0.375 0.250 0.125  0.00
Ge 0.625 0.875 0.250  0.00
Ge 0.500 0.000 0.500  0.00
Ge 0.250 0.875 0.125  0.00
Ge 0.875 0.250 0.625  0.00
Ge 0.500 0.500 0.000  0.00
Ge 0.000 0.000 0.000  0.00
Ge 0.750 0.125 0.875  0.00
Ge 0.000 0.000 0.500  0.00
Ge 0.500 0.500 0.500  0.00
Ge 0.125 0.375 0.250  0.00
Cu 0.875 0.750 0.125  0.29
Cu 0.125 0.875 0.750  0.29
Cu 0.375 0.625 0.250  0.29
Cu 0.750 0.875 0.625  0.29
Cu 0.250 0.125 0.375  0.29
Cu 0.625 0.375 0.750  0.29
Cu 0.625 0.250 0.375  0.29
Cu 0.250 0.625 0.875  0.29
Cu 0.375 0.750 0.625  0.29
Cu 0.875 0.125 0.250  0.29
Cu 0.750 0.375 0.125  0.29
Cu 0.125 0.250 0.875  0.29



Here is CuGe3O after structural relaxation from Alexandria via LeMat-Bulk. Energies are from PBE.

Results
* E_tot: -4.419 eV/atom
* N(E_F): 3.00 states/eV/cell
* polymorph energy (0 for the lowest one): 0 meV per atom

a b c (Å): 4.377 4.377 4.377
angles (deg): 90.00 90.00 90.00
Atoms (fractional coordinates):
Ge 0.000 0.000 0.500
Ge 0.500 0.000 0.000
Ge 0.000 0.500 0.000
O 0.000 0.000 0.000
Cu 0.500 0.500 0.500



Here is Cu3GeO after structural relaxation from Alexandria via LeMat-Bulk. Energies are from PBE.

Results
* E_tot: -3.321 eV/atom
* N(E_F): 11.87 states/eV/cell
* polymorph energy (0 for the lowest one): 963 meV per atom

a b c (Å): 4.470 4.470 4.470
angles (deg): 90.00 90.00 90.00
Atoms (fractional coordinates):
Ge 0.000 0.000 0.000
Cu 0.500 0.000 0.000
Cu 0.000 0.000 0.500
Cu 0.000 0.500 0.000
O 0.500 0.500 0.500



Here is Cu2Ge2O after structural relaxation from Alexandria via LeMat-Bulk. Energies are from PBE.

Results
* E_tot: -4.270 eV/atom
* N(E_F): 2.39 states/eV/cell
* polymorph energy (0 for the lowest one): 113 meV per atom

a b c (Å): 3.316 3.316 6.902
angles (deg): 76.10 76.10 90.00
Atoms (fractional coordinates):
Ge 0.594 0.594 0.812
Ge 0.406 0.406 0.188
O 0.000 0.000 0.000
Cu 0.750 0.250 0.500
Cu 0.250 0.750 0.500



Here is Cu3GeO after structural relaxation from Alexandria via LeMat-Bulk. Energies are from PBE.

Results
* E_tot: -4.284 eV/atom
* N(E_F): 3.72 states/eV/cell
* polymorph energy (0 for the lowest one): 0 meV per atom

a b c (Å): 4.047 4.047 4.047
angles (deg): 90.00 90.00 90.00
Atoms (fractional coordinates):
Ge 0.500 0.500 0.500
Cu 0.000 0.000 0.500
Cu 0.000 0.500 0.000
Cu 0.500 0.000 0.000
O 0.000 0.000 0.000



Here is CuGe3O after structural relaxation from Alexandria via LeMat-Bulk. Energies are from PBE.

Results
* E_tot: -3.910 eV/atom
* N(E_F): 2.49 states/eV/cell
* polymorph energy (0 for the lowest one): 508 meV per atom

a b c (Å): 4.598 4.598 4.598
angles (deg): 90.00 90.00 90.00
Atoms (fractional coordinates):
Ge 0.000 0.000 0.500
Ge 0.500 0.000 0.000
Ge 0.000 0.500 0.000
Cu 0.000 0.000 0.000
O 0.500 0.500 0.500